# Ce2TmHg6

Crystalline Ce2TmHg6 at its relaxed geometry (GGA-PBE, Alexandria).

Summary:
**Crystal system**: hexagonal
**V**: 24.85 A^3/atom
**Energy**: -2.37 eV per atom
**D(E_F)**: 14.0 states/eV/cell

The structure in POSCAR format:
```
Ce2TmHg6
1.0
-1.3869 3.0660 -0.2966
-7.6244 -3.1709 2.8734
5.8296 3.1869 5.6835
Ce Hg Tm
2 6 1
direct
0.0000 0.3333 0.6667
0.0000 0.6667 0.3333
0.5000 0.0000 0.6699
0.5000 0.0000 0.3301
0.5000 0.6699 0.0000
0.5000 0.3301 0.3301
0.5000 0.6699 0.6699
0.5000 0.3301 0.0000
0.0000 0.0000 0.0000
```



# TiPtPb2O6

Crystalline TiPtPb2O6 at its relaxed geometry (GGA-PBE, Alexandria).

Summary:
**Crystal system**: trigonal
**Raw formation energy**: -1435 meV per atom
**V**: 13.49 A^3/atom
**D(E_F)**: 0.0 states/eV/cell

The structure in POSCAR format:
```
TiPtPb2O6
1.0
-3.2687 3.8051 -2.7367
-5.6892 -0.2621 0.4650
-2.6310 6.9454 6.8336
O Pb Ti Pt
12 4 2 2
direct
0.2063 0.7087 0.8786
0.3852 0.8632 0.3665
0.6148 0.1368 0.6335
0.7087 0.2063 0.8786
0.6148 0.6148 0.6335
0.2063 0.2063 0.8786
0.8632 0.3852 0.3665
0.1368 0.6148 0.6335
0.2913 0.7937 0.1214
0.3852 0.3852 0.3665
0.7937 0.7937 0.1214
0.7937 0.2913 0.1214
0.2740 0.2740 0.1780
0.7260 0.7260 0.8220
0.1359 0.1359 0.5922
0.8641 0.8641 0.4078
0.4032 0.4032 0.7903
0.5968 0.5968 0.2097
0.0000 0.0000 0.0000
0.5000 0.5000 0.5000
```



# IrI2O2

Crystalline IrI2O2 at its relaxed geometry (GGA-PBE, Alexandria).

Summary:
**Crystal system**: tetragonal
**Raw formation energy**: 1190 meV per atom
**V**: 16.83 A^3/atom
**D(E_F)**: 2.8 states/eV/cell

The structure in POSCAR format:
```
IrI2O2
1.0
4.8790 0.0000 0.0000
0.0000 4.8790 0.0000
0.0000 0.0000 3.5351
O I Ir
2 2 1
direct
0.0000 0.0000 0.0000
0.0000 0.0000 0.5000
0.0000 0.5000 0.0000
0.5000 0.0000 0.0000
0.5000 0.5000 0.5000
```



# CsSrPd3

Crystalline CsSrPd3 at its relaxed geometry (GGA-PBE, Alexandria).

Summary:
**Crystal system**: cubic
**V**: 34.26 A^3/atom
**Energy**: -3.14 eV per atom
**D(E_F)**: 2.5 states/eV/cell

The structure in POSCAR format:
```
CsSrPd3
1.0
-4.4858 -3.1852 0.7601
-0.6966 -0.3315 -5.5000
3.1997 -4.5376 -0.1317
Pd Sr Cs
3 1 1
direct
0.0000 0.5000 0.0000
0.0000 0.0000 0.5000
0.5000 0.0000 0.0000
0.0000 0.0000 0.0000
0.5000 0.5000 0.5000
```



# CrTe2C

Crystalline CrTe2C at its relaxed geometry (GGA-PBE, Alexandria).

Summary:
**Crystal system**: tetragonal
**Raw formation energy**: 1188 meV per atom
**V**: 20.92 A^3/atom
**D(E_F)**: 4.6 states/eV/cell

The structure in POSCAR format:
```
CrTe2C
1.0
5.6356 0.0000 0.0000
0.0000 5.6356 0.0000
2.8178 2.8178 5.2703
Te Cr C
4 2 2
direct
0.8750 0.8444 0.7500
0.3750 0.4056 0.7500
0.5944 0.1250 0.2500
0.1556 0.6250 0.2500
0.7500 0.2500 0.5000
0.0000 0.0000 0.0000
0.2500 0.7500 0.5000
0.5000 0.5000 0.0000
```



# La2Pr2Tl7

Crystalline La2Pr2Tl7 at its relaxed geometry (GGA-PBE, Alexandria).

Summary:
**Crystal system**: monoclinic
**V**: 31.65 A^3/atom
**Energy**: -3.50 eV per atom
**D(E_F)**: 8.0 states/eV/cell

The structure in POSCAR format:
```
La2Pr2Tl7
1.0
0.0240 -8.2781 -0.2899
2.4352 1.0708 -4.5163
7.8866 -0.3652 2.5059
Tl La Pr
7 2 2
direct
0.0286 0.1911 0.6089
0.3911 0.1911 0.9714
0.9714 0.8089 0.3911
0.6089 0.8089 0.0286
0.0000 0.0000 0.0000
0.4307 0.2237 0.5693
0.5693 0.7763 0.4307
0.7695 0.5000 0.7695
0.2305 0.5000 0.2305
0.7545 0.3324 0.2455
0.2455 0.6676 0.7545
```



# Tl2AgCl3

Crystalline Tl2AgCl3 at its relaxed geometry (GGA-PBE, Alexandria).

Summary:
**Crystal system**: orthorhombic
**Raw formation energy**: -830 meV per atom
**V**: 30.20 A^3/atom
**D(E_F)**: 0.0 states/eV/cell

The structure in POSCAR format:
```
Tl2AgCl3
1.0
-3.2504 0.7773 -2.9461
1.8217 -7.9056 -4.0957
-11.7035 -8.2578 10.7339
Tl Cl Ag
8 12 4
direct
0.7500 0.2341 0.4595
0.2500 0.2659 0.9595
0.7500 0.5826 0.7848
0.7500 0.7341 0.0405
0.2500 0.7659 0.5405
0.2500 0.4174 0.2152
0.2500 0.9174 0.2848
0.7500 0.0826 0.7152
0.7500 0.8801 0.4293
0.2500 0.4882 0.4010
0.2500 0.9882 0.0990
0.7500 0.3801 0.0707
0.2500 0.8183 0.7244
0.2500 0.3183 0.7756
0.7500 0.1817 0.2756
0.2500 0.1199 0.5707
0.7500 0.5118 0.5990
0.7500 0.0118 0.9010
0.2500 0.6199 0.9293
0.7500 0.6817 0.2244
0.7500 0.6186 0.3672
0.7500 0.1186 0.1328
0.2500 0.8814 0.8672
0.2500 0.3814 0.6328
```



# PtS2Br2Cl2

Crystalline PtS2Br2Cl2 at its relaxed geometry (GGA-PBE, Alexandria).

Summary:
**Crystal system**: monoclinic
**Raw formation energy**: -82 meV per atom
**V**: 28.92 A^3/atom
**D(E_F)**: 4.2 states/eV/cell

The structure in POSCAR format:
```
PtS2Br2Cl2
1.0
3.7729 0.0000 0.0000
1.8864 7.5548 -0.5775
1.8864 1.2293 7.0087
S Br Cl Pt
2 2 2 1
direct
0.9340 0.6233 0.5087
0.0660 0.3767 0.4913
0.4875 0.8362 0.1889
0.5125 0.1638 0.8111
0.7841 0.2188 0.2130
0.2159 0.7812 0.7870
0.0000 0.0000 0.0000
```



# Re2SiTe

Crystalline Re2SiTe at its relaxed geometry (GGA-PBE, Alexandria).

Summary:
**Crystal system**: tetragonal
**Raw formation energy**: 338 meV per atom
**V**: 17.46 A^3/atom
**D(E_F)**: 3.6 states/eV/cell

The structure in POSCAR format:
```
Re2SiTe
1.0
2.9878 0.0000 0.0000
0.0000 2.9878 0.0000
0.0000 0.0000 7.8251
Si Re Te
1 2 1
direct
0.0000 0.0000 0.4411
0.0000 0.0000 0.0329
0.5000 0.5000 0.2479
0.5000 0.5000 0.7780
```



# Ba2CdPtN

Crystalline Ba2CdPtN at its relaxed geometry (GGA-PBE, Alexandria).

Summary:
**Crystal system**: tetragonal
**Raw formation energy**: -437 meV per atom
**V**: 27.74 A^3/atom
**D(E_F)**: 4.2 states/eV/cell

The structure in POSCAR format:
```
Ba2CdPtN
1.0
-1.9835 -1.2192 -5.5092
2.6261 -5.3682 0.2424
-3.2370 -1.5158 1.5009
Ba Pt N Cd
2 1 1 1
direct
0.5000 0.0000 0.0000
0.0000 0.5000 0.0000
0.0000 0.0000 0.5000
0.0000 0.0000 0.0000
0.5000 0.5000 0.5000
```



# Cs4Ag3BiBr12

Crystalline Cs4Ag3BiBr12 at its relaxed geometry (GGA-PBE, Alexandria).

Summary:
**Crystal system**: cubic
**Raw formation energy**: -1001 meV per atom
**V**: 35.42 A^3/atom
**D(E_F)**: 6.1 states/eV/cell

The structure in POSCAR format:
```
Cs4Ag3BiBr12
1.0
-1.2948 -8.0567 -5.2928
8.6180 3.9533 -2.1682
-0.2432 -2.2597 9.4570
Br Ag Cs Bi
12 3 4 1
direct
0.0000 0.7477 0.7477
0.2523 0.2523 0.0000
0.0000 0.2523 0.2523
0.7500 0.5000 0.2500
0.5000 0.7500 0.2500
0.7477 0.0000 0.7477
0.2500 0.7500 0.5000
0.7477 0.7477 0.0000
0.2523 0.0000 0.2523
0.5000 0.2500 0.7500
0.7500 0.2500 0.5000
0.2500 0.5000 0.7500
0.0000 0.5000 0.5000
0.5000 0.5000 0.0000
0.5000 0.0000 0.5000
0.0000 0.0000 0.5000
0.0000 0.5000 0.0000
0.5000 0.5000 0.5000
0.5000 0.0000 0.0000
0.0000 0.0000 0.0000
```



# PmY2FeN4

Crystalline PmY2FeN4 at its relaxed geometry (GGA-PBE, Alexandria).

Summary:
**Crystal system**: orthorhombic
**Raw formation energy**: -1106 meV per atom
**V**: 14.09 A^3/atom
**D(E_F)**: 5.8 states/eV/cell

The structure in POSCAR format:
```
PmY2FeN4
1.0
3.4047 0.0000 0.0000
-1.7024 5.7102 0.0000
0.0000 0.0000 11.5935
Y N Pm Fe
4 8 2 2
direct
0.3679 0.7358 0.9553
0.6321 0.2642 0.0447
0.3679 0.7358 0.5447
0.6321 0.2642 0.4553
0.2672 0.5344 0.3691
0.0000 0.0000 0.5000
0.2672 0.5344 0.1309
0.5867 0.1735 0.2500
0.7328 0.4656 0.6309
0.0000 0.0000 0.0000
0.7328 0.4656 0.8691
0.4133 0.8265 0.7500
0.8799 0.7599 0.2500
0.1201 0.2401 0.7500
0.8470 0.6939 0.7500
0.1530 0.3061 0.2500
```